VASP calculation (PBE) on a relaxed Li17Ca2Ag3 crystal.

For the total energy, the calculation gives -45.11 eV/f.u. Its energy relative to the elements is -0.0007 eV/atom.

It has space group R-3m (No. 166, hexagonal axes), with a = 10.5352 Å, b = 10.5352 Å, c = 15.1594 Å, α = 90.00°, β = 90.00° and γ = 120.00°. The asymmetric unit holds Li at (0.0000, 0.0000, 0.0973), Li at (0.0000, 0.2609, 0.0000), Li at (0.0000, 0.5000, 0.5000), Li at (0.0128, 0.5064, 0.1729), Ca at (0.0000, 0.0000, 0.3317) and Ag at (0.0000, 0.5000, 0.0000).